# NiHgN2O, relaxed, DFT GGA+U
# Total moment in μB/cell: 3.6
# E_tot in eV/atom: -3.58
# Crystal system: tetragonal
data_NiHgN2O
_symmetry_space_group_name_H-M 'P 4/m m m'
_symmetry_Int_Tables_number 123
_symmetry_space_group_name_Hall '-P 4 2'
_cell_length_a 3.820
_cell_length_b 3.820
_cell_length_c 3.984
_cell_angle_alpha 90.00
_cell_angle_beta 90.00
_cell_angle_gamma 90.00
loop_
_atom_site_label
_atom_site_type_symbol
_atom_site_fract_x
_atom_site_fract_y
_atom_site_fract_z
_atom_site_occupancy
Ni1 Ni 0.000 0.000 0.000 1
Hg1 Hg 0.500 0.500 0.500 1
N1 N 0.000 0.500 0.000 1
O1 O 0.000 0.000 0.500 1